# 1
Entry from Alexandria via LeMat-Bulk: a relaxed CsAu crystal (GGA-PBE).

Lattice parameters (Å, degrees): 10.471 10.471 5.901 90.00 90.00 120.00
Atoms (fractional coordinates):
Cs 0.201 0.402 0.250
Cs 0.201 0.799 0.250
Cs 0.402 0.201 0.750
Cs 0.598 0.799 0.250
Cs 0.799 0.201 0.750
Cs 0.799 0.598 0.750
Au 0.147 0.573 0.750
Au 0.427 0.573 0.750
Au 0.427 0.853 0.750
Au 0.573 0.147 0.250
Au 0.573 0.427 0.250
Au 0.853 0.427 0.250

Space group: P6_3/mmc, No. 194
ΔE to the lowest computed polymorph (meV per atom): 120
ΔH_f (0 K) (eV per atom): -0.214

# 2
Entry from Alexandria via LeMat-Bulk: a relaxed K3MgCd8 crystal (GGA-PBE).

Lattice parameters (Å, degrees): 10.971 10.971 10.971 32.72 32.72 32.72
Atoms (fractional coordinates):
K 0.000 0.000 0.000
K 0.127 0.127 0.127
K 0.623 0.623 0.623
Mg 0.500 0.500 0.500
Cd 0.061 0.061 0.559
Cd 0.061 0.559 0.061
Cd 0.069 0.563 0.563
Cd 0.313 0.313 0.313
Cd 0.559 0.061 0.061
Cd 0.563 0.069 0.563
Cd 0.563 0.563 0.069
Cd 0.813 0.813 0.813

Space group: R3m, No. 160
ΔH_f (0 K) (eV per atom): -0.050